(1)
The following is a PBE calculation of a relaxed structure of Sc2CdSn, from Alexandria via LeMat-Bulk.

Unit cell a=4.5942 b=4.5942 c=4.2128 alpha=90.00 beta=90.00 gamma=90.00
Space group P4/mmm (No. 123)
Symmetry-distinct sites (fractional):
1 Sc 0.0000 0.5000 0.0000 x2
2 Cd 0.0000 0.0000 0.5000 x1
3 Sn 0.5000 0.5000 0.5000 x1

Values from the calculation:
ΔE_f   -0.47 eV per atom
VASP energy   -19.45 eV for the cell shown
Magnetization   0.75 μB/cell


(2)
The following is a PBE calculation of a relaxed structure of ScCd2Sn, from Alexandria via LeMat-Bulk.

Unit cell a=4.3369 b=4.3369 c=4.7120 alpha=90.00 beta=90.00 gamma=90.00
Space group P4/mmm (No. 123)
Symmetry-distinct sites (fractional):
1 Sc 0.0000 0.0000 0.0000 x1
2 Cd 0.0000 0.5000 0.5000 x2
3 Sn 0.5000 0.5000 0.0000 x1

Values from the calculation:
ΔE_f   -0.34 eV per atom
VASP energy   -13.52 eV for the cell shown
Magnetization   0.00 μB/cell


(3)
The following is a PBE calculation of a relaxed structure of ScCd2Sn2, from Alexandria via LeMat-Bulk.

Unit cell a=7.7151 b=7.7151 c=4.2767 alpha=90.00 beta=90.00 gamma=90.00
Space group P4/mbm (No. 127)
Symmetry-distinct sites (fractional):
1 Sc 0.0000 0.0000 0.0000 x2
2 Cd 0.1667 0.3333 0.5000 x4
3 Sn 0.1380 0.6380 0.0000 x4

Values from the calculation:
ΔE_f   -0.05 eV per atom
ΔE to the lowest computed polymorph   0.219 eV per atom
VASP energy   -32.82 eV for the cell shown
Magnetization   0.00 μB/cell


(4)
The following is a PBE calculation of a relaxed structure of ScCd2Sn, from Alexandria via LeMat-Bulk.

Unit cell a=8.2421 b=8.2421 c=5.8966 alpha=90.00 beta=90.00 gamma=90.00
Space group I-42d (No. 122)
Symmetry-distinct sites (fractional):
1 Sc 0.0000 0.0000 0.0000 x4
2 Cd 0.2382 0.2500 0.6250 x8
3 Sn 0.0000 0.0000 0.5000 x4

Values from the calculation:
ΔE_f   -0.05 eV per atom
VASP energy   -49.43 eV for the cell shown
Magnetization   0.00 μB/cell


(5)
The following is a PBE calculation of a relaxed structure of Sc3CdSn, from Alexandria via LeMat-Bulk.

Unit cell a=5.2197 b=5.2197 c=5.2197 alpha=90.00 beta=90.00 gamma=90.00
Space group Pm-3m (No. 221)
Symmetry-distinct sites (fractional):
1 Sc 0.0000 0.0000 0.5000 x3
2 Cd 0.0000 0.0000 0.0000 x1
3 Sn 0.5000 0.5000 0.5000 x1

Values from the calculation:
ΔE_f   0.25 eV per atom
ΔE to the lowest computed polymorph   0.311 eV per atom
VASP energy   -22.65 eV for the cell shown
Magnetization   0.00 μB/cell


(6)
The following is a PBE calculation of a relaxed structure of Sc6CdSn, from Alexandria via LeMat-Bulk.

Unit cell a=4.5080 b=4.5080 c=9.0148 alpha=90.00 beta=90.00 gamma=90.00
Space group P4/mmm (No. 123)
Symmetry-distinct sites (fractional):
1 Sc 0.0000 0.0000 0.0000 x1
2 Sc 0.0000 0.0000 0.5000 x1
3 Sc 0.0000 0.5000 0.2503 x4
4 Cd 0.5000 0.5000 0.0000 x1
5 Sn 0.5000 0.5000 0.5000 x1

Values from the calculation:
ΔE_f   -0.29 eV per atom
ΔE to the lowest computed polymorph   0.000 eV per atom
VASP energy   -45.20 eV for the cell shown
Magnetization   3.12 μB/cell


(7)
The following is a PBE calculation of a relaxed structure of Sc2CdSn, from Alexandria via LeMat-Bulk.

Unit cell a=7.8511 b=7.8511 c=6.4260 alpha=90.00 beta=90.00 gamma=90.00
Space group I-42d (No. 122)
Symmetry-distinct sites (fractional):
1 Sc 0.2491 0.2500 0.1250 x8
2 Cd 0.0000 0.0000 0.0000 x4
3 Sn 0.0000 0.0000 0.5000 x4

Values from the calculation:
ΔE_f   -0.10 eV per atom
VASP energy   -71.95 eV for the cell shown
Magnetization   0.00 μB/cell


(8)
The following is a PBE calculation of a relaxed structure of ScCd2Sn2, from Alexandria via LeMat-Bulk.

Unit cell a=4.3244 b=4.3244 c=14.1575 alpha=90.00 beta=90.00 gamma=90.00
Space group I4/mmm (No. 139)
Symmetry-distinct sites (fractional):
1 Sc 0.0000 0.0000 0.0000 x2
2 Cd 0.0000 0.0000 0.4049 x4
3 Sn 0.0000 0.5000 0.2500 x4

Values from the calculation:
ΔE_f   0.12 eV per atom
ΔE to the lowest computed polymorph   0.389 eV per atom
VASP energy   -31.12 eV for the cell shown
Magnetization   0.00 μB/cell